# Mn2CuRh

Mn2CuRh after structural relaxation (GGA-PBE, the Alexandria database).

The structure belongs to space group C2/m (No. 12); the cell edges are 8.551, 2.842 and 4.630 Å and the angles 90.00°, 102.99° and 90.00°. The distinct sites, in fractional coordinates, are Mn at (0.248, 0.000, 0.247), Cu at (0.000, 0.500, 0.000) and Rh at (0.000, 0.000, 0.500).

As for the energy of formation from the pure elements: 3.23 kcal/mol of atoms. The density of states at the Fermi level is 1.2089 states/eV per atom.

***

# La2GaAgRu

La2GaAgRu after structural relaxation (GGA-PBE, the Alexandria database).

The structure belongs to space group P4/mmm (No. 123); the cell edges are 5.434, 5.434 and 4.856 Å and the angles 90.00°, 90.00° and 90.00°. The distinct sites, in fractional coordinates, are La at (0.000, 0.500, 0.000), Ga at (0.000, 0.000, 0.500), Ag at (0.500, 0.500, 0.500) and Ru at (0.000, 0.000, 0.000).

The offset from the most stable computed form comes out at 44 kJ/mol of formula units. As for the energy of formation from the pure elements: -6.85 kcal/mol of atoms. The density of states at the Fermi level is 0.7676 states/eV per atom.

***

Question: Which formula does entry 1 have?
Answer: Mn2CuRh